A plane-wave DFT calculation with PBE-GGA was carried out for a geometry-optimized Ti2Ni2Au structure.

```
data_Ti2Ni2Au
_space_group_name_H-M_alt 'P 4/m b m'
_space_group_IT_number 127
_space_group_name_Hall '-P 4 2ab'
_cell_length_a 6.853
_cell_length_b 6.853
_cell_length_c 3.048
_cell_angle_alpha 90.00
_cell_angle_beta 90.00
_cell_angle_gamma 90.00
loop_
_atom_site_label
_atom_site_type_symbol
_atom_site_fract_x
_atom_site_fract_y
_atom_site_fract_z
Ti1 Ti 0.170 0.330 0.000
Ni1 Ni 0.126 0.626 0.500
Au1 Au 0.000 0.000 0.500
```

Values from the calculation:
- calculated volume (Å³/f.u.) = 72
- energy (eV for the cell shown) = -65.80
- total magnetization (μB/cell) = 0.0
- energy of formation from the pure elements (kJ per mole of atoms) = -44